(1)
VASP calculation (GGA-PBE) on a relaxed structure of RhAuCl2.

## Properties
The space group is No. 123. The value obtained for the magnetic moment is 2.9 μB/f.u. For the energy above the most stable polymorph in this dataset, the calculation gives 524.5 meV/atom. The density of states at the Fermi level is 0.7137 states/eV/atom. For the raw formation energy, the calculation gives 427.1 meV/atom.

a b c (Å): 3.0350 3.0350 9.5521
angles (deg): 90.00 90.00 90.00
Each line ends with the local moment (μB).
Positions (direct):
Cl 0.0000 0.0000 0.0819  0.36
Cl 0.0000 0.0000 0.4181  0.36
Au 0.5000 0.5000 0.7500  0.01
Rh 0.5000 0.5000 0.2500  2.00

=====

(2)
VASP calculation (GGA-PBE) on a relaxed structure of RhAuCl2.

## Properties
The space group is No. 119. The value obtained for the magnetic moment is 1.2 μB/f.u. For the energy above the most stable polymorph in this dataset, the calculation gives 509.4 meV/atom. The density of states at the Fermi level is 1.2599 states/eV/atom. For the raw formation energy, the calculation gives 412.1 meV/atom.

a b c (Å): 6.5304 6.5304 6.5304
angles (deg): 147.63 147.63 46.43
Each line ends with the local moment (μB).
Positions (direct):
Cl 0.0000 0.0000 0.0000  0.04
Au 0.7500 0.2500 0.5000  0.02
Cl 0.2500 0.7500 0.5000  0.03
Rh 0.5000 0.5000 0.0000  0.95